Entry 1:
{
  "formula": "NaH",
  "functional": "SCAN",
  "state": "single point on PBEsol structure",
  "e_tot_ev_per_cell": -8.3,
  "m_tot_mub_per_cell": 0.00,
  "space_group": "Fm-3m, No. 225",
  "cell": [[0.000, 2.379, 2.379], [2.379, 0.000, 2.379], [2.379, 2.379, 0.000]],
  "species": ["Na", "H"],
  "frac_coords": [[0.000, 0.000, 0.000], [0.500, 0.500, 0.500]]
}

Entry 2:
{
  "formula": "NaNiH2",
  "functional": "SCAN",
  "state": "single point on PBEsol structure",
  "e_tot_ev_per_cell": -24.7,
  "m_tot_mub_per_cell": 0.00,
  "space_group": "Fm-3m, No. 225",
  "cell": [[0.000, 2.594, 2.594], [2.594, 0.000, 2.594], [2.594, 2.594, 0.000]],
  "species": ["Na", "Ni", "H", "H"],
  "frac_coords": [[0.000, 0.000, 0.000], [0.500, 0.500, 0.500], [0.250, 0.250, 0.250], [0.750, 0.750, 0.750]]
}

Entry 3:
{
  "formula": "NaNiP2HO7",
  "functional": "SCAN",
  "state": "single point on PBEsol structure",
  "e_tot_ev_per_cell": -228.1,
  "m_tot_mub_per_cell": 4.08,
  "space_group": "P-1, No. 2",
  "cell": [[6.432, 0.000, 0.000], [0.192, 6.493, 0.000], [0.673, 2.530, 6.001]],
  "species": ["Na", "Na", "Ni", "Ni", "P", "P", "P", "P", "H", "H", "O", "O", "O", "O", "O", "O", "O", "O", "O", "O", "O", "O", "O", "O"],
  "frac_coords": [[0.164, 0.310, 0.241], [0.836, 0.690, 0.759], [0.358, 0.712, 0.392], [0.642, 0.288, 0.608], [0.140, 0.260, 0.719], [0.380, 0.837, 0.866], [0.620, 0.163, 0.134], [0.860, 0.740, 0.281], [0.209, 0.562, 0.803], [0.791, 0.438, 0.197], [0.043, 0.762, 0.401], [0.093, 0.384, 0.875], [0.204, 0.013, 0.876], [0.301, 0.723, 0.716], [0.333, 0.364, 0.549], [0.382, 0.665, 0.102], [0.417, 0.041, 0.247], [0.583, 0.959, 0.753], [0.618, 0.335, 0.898], [0.667, 0.636, 0.451], [0.699, 0.277, 0.284], [0.796, 0.987, 0.124], [0.907, 0.616, 0.125], [0.957, 0.238, 0.599]]
}

Entry 4:
{
  "formula": "NaNi2H3Se2O10",
  "functional": "SCAN",
  "state": "single point on PBEsol structure",
  "e_tot_ev_per_cell": -170.2,
  "m_tot_mub_per_cell": 4.00,
  "space_group": "Cm, No. 8",
  "cell": [[4.425, -3.107, 0.000], [4.425, 3.107, 0.000], [-3.155, 0.000, 6.716]],
  "species": ["Na", "Ni", "Ni", "H", "H", "H", "Se", "Se", "O", "O", "O", "O", "O", "O", "O", "O", "O", "O"],
  "frac_coords": [[0.000, 0.000, 0.000], [0.000, 0.500, 0.500], [0.500, 0.000, 0.500], [0.001, 0.001, 0.501], [0.193, 0.193, 0.730], [0.808, 0.808, 0.270], [0.415, 0.415, 0.209], [0.585, 0.585, 0.791], [0.152, 0.152, 0.582], [0.245, 0.688, 0.749], [0.264, 0.264, 0.982], [0.312, 0.755, 0.251], [0.318, 0.318, 0.366], [0.682, 0.682, 0.634], [0.688, 0.245, 0.749], [0.736, 0.736, 0.018], [0.755, 0.312, 0.251], [0.849, 0.849, 0.418]]
}

Entry 5:
{
  "formula": "NaH8O5",
  "functional": "SCAN",
  "state": "single point on PBEsol structure",
  "e_tot_ev_per_cell": -314.0,
  "m_tot_mub_per_cell": 0.24,
  "space_group": "C2/c, No. 15",
  "cell": [[7.022, -3.204, 0.000], [7.022, 3.204, 0.000], [-5.352, 0.000, 9.809]],
  "species": ["Na", "Na", "Na", "Na", "H", "H", "H", "H", "H", "H", "H", "H", "H", "H", "H", "H", "H", "H", "H", "H", "H", "H", "H", "H", "H", "H", "H", "H", "H", "H", "H", "H", "H", "H", "H", "H", "O", "O", "O", "O", "O", "O", "O", "O", "O", "O", "O", "O", "O", "O", "O", "O", "O", "O", "O", "O"],
  "frac_coords": [[0.196, 0.203, 0.428], [0.203, 0.196, 0.928], [0.797, 0.804, 0.072], [0.804, 0.797, 0.572], [0.036, 0.072, 0.657], [0.072, 0.036, 0.157], [0.093, 0.369, 0.685], [0.107, 0.762, 0.485], [0.140, 0.634, 0.932], [0.192, 0.658, 0.297], [0.238, 0.893, 0.015], [0.268, 0.440, 0.713], [0.294, 0.548, 0.070], [0.295, 0.675, 0.629], [0.325, 0.705, 0.871], [0.342, 0.808, 0.203], [0.366, 0.860, 0.568], [0.369, 0.093, 0.185], [0.440, 0.268, 0.213], [0.452, 0.706, 0.430], [0.548, 0.294, 0.570], [0.560, 0.732, 0.787], [0.631, 0.907, 0.815], [0.634, 0.140, 0.432], [0.658, 0.192, 0.797], [0.675, 0.295, 0.129], [0.705, 0.325, 0.371], [0.706, 0.452, 0.930], [0.732, 0.560, 0.287], [0.762, 0.107, 0.985], [0.808, 0.342, 0.703], [0.860, 0.366, 0.068], [0.893, 0.238, 0.515], [0.907, 0.631, 0.315], [0.928, 0.964, 0.843], [0.964, 0.928, 0.343], [0.022, 0.756, 0.307], [0.124, 0.445, 0.651], [0.129, 0.806, 0.586], [0.160, 0.554, 0.990], [0.194, 0.871, 0.914], [0.244, 0.978, 0.193], [0.445, 0.124, 0.151], [0.446, 0.840, 0.510], [0.461, 0.501, 0.301], [0.499, 0.539, 0.199], [0.501, 0.461, 0.801], [0.539, 0.499, 0.699], [0.554, 0.160, 0.490], [0.555, 0.876, 0.849], [0.756, 0.022, 0.807], [0.806, 0.129, 0.086], [0.840, 0.446, 0.010], [0.871, 0.194, 0.414], [0.876, 0.555, 0.349], [0.978, 0.244, 0.693]]
}

Entry 6:
{
  "formula": "Na2H16O9",
  "functional": "SCAN",
  "state": "single point on PBEsol structure",
  "e_tot_ev_per_cell": -604.7,
  "m_tot_mub_per_cell": 0.60,
  "space_group": "P2_1/c, No. 14",
  "cell": [[6.403, 0.000, 0.000], [0.000, 12.073, 0.000], [-2.475, 0.000, 11.178]],
  "species": ["Na", "Na", "Na", "Na", "Na", "Na", "Na", "Na", "H", "H", "H", "H", "H", "H", "H", "H", "H", "H", "H", "H", "H", "H", "H", "H", "H", "H", "H", "H", "H", "H", "H", "H", "H", "H", "H", "H", "H", "H", "H", "H", "H", "H", "H", "H", "H", "H", "H", "H", "H", "H", "H", "H", "H", "H", "H", "H", "H", "H", "H", "H", "H", "H", "H", "H", "H", "H", "H", "H", "H", "H", "H", "H", "O", "O", "O", "O", "O", "O", "O", "O", "O", "O", "O", "O", "O", "O", "O", "O", "O", "O", "O", "O", "O", "O", "O", "O", "O", "O", "O", "O", "O", "O", "O", "O", "O", "O", "O", "O"],
  "frac_coords": [[0.077, 0.182, 0.099], [0.077, 0.318, 0.599], [0.103, 0.707, 0.167], [0.103, 0.793, 0.667], [0.897, 0.207, 0.333], [0.897, 0.293, 0.833], [0.923, 0.682, 0.401], [0.923, 0.818, 0.901], [0.034, 0.596, 0.948], [0.034, 0.904, 0.448], [0.069, 0.561, 0.630], [0.069, 0.939, 0.130], [0.071, 0.501, 0.800], [0.071, 0.999, 0.300], [0.159, 0.078, 0.488], [0.159, 0.422, 0.988], [0.170, 0.013, 0.784], [0.170, 0.487, 0.284], [0.278, 0.593, 0.585], [0.278, 0.907, 0.085], [0.285, 0.662, 0.887], [0.285, 0.838, 0.387], [0.295, 0.188, 0.804], [0.295, 0.312, 0.304], [0.346, 0.565, 0.057], [0.346, 0.935, 0.557], [0.369, 0.015, 0.398], [0.369, 0.485, 0.898], [0.370, 0.187, 0.324], [0.370, 0.313, 0.824], [0.399, 0.716, 0.397], [0.399, 0.784, 0.897], [0.404, 0.539, 0.204], [0.404, 0.961, 0.704], [0.409, 0.100, 0.966], [0.409, 0.400, 0.466], [0.467, 0.052, 0.100], [0.467, 0.448, 0.600], [0.494, 0.598, 0.729], [0.494, 0.902, 0.229], [0.506, 0.098, 0.771], [0.506, 0.402, 0.271], [0.533, 0.552, 0.400], [0.533, 0.948, 0.900], [0.591, 0.600, 0.534], [0.591, 0.900, 0.034], [0.596, 0.039, 0.296], [0.596, 0.461, 0.796], [0.601, 0.216, 0.103], [0.601, 0.284, 0.603], [0.630, 0.687, 0.176], [0.630, 0.813, 0.676], [0.631, 0.515, 0.102], [0.631, 0.985, 0.602], [0.654, 0.065, 0.443], [0.654, 0.435, 0.943], [0.705, 0.688, 0.696], [0.705, 0.812, 0.196], [0.715, 0.162, 0.613], [0.715, 0.338, 0.113], [0.722, 0.093, 0.915], [0.722, 0.407, 0.415], [0.830, 0.513, 0.716], [0.830, 0.987, 0.216], [0.841, 0.578, 0.012], [0.841, 0.922, 0.512], [0.929, 0.001, 0.700], [0.929, 0.499, 0.200], [0.931, 0.061, 0.870], [0.931, 0.439, 0.370], [0.966, 0.096, 0.552], [0.966, 0.404, 0.052], [0.025, 0.522, 0.279], [0.025, 0.978, 0.779], [0.076, 0.137, 0.521], [0.076, 0.363, 0.021], [0.129, 0.617, 0.581], [0.129, 0.883, 0.081], [0.242, 0.234, 0.295], [0.242, 0.266, 0.795], [0.254, 0.527, 0.925], [0.254, 0.973, 0.425], [0.271, 0.740, 0.857], [0.271, 0.760, 0.357], [0.409, 0.119, 0.051], [0.409, 0.381, 0.551], [0.417, 0.595, 0.140], [0.417, 0.905, 0.640], [0.423, 0.056, 0.819], [0.423, 0.444, 0.319], [0.577, 0.556, 0.681], [0.577, 0.944, 0.181], [0.583, 0.095, 0.360], [0.583, 0.405, 0.860], [0.591, 0.619, 0.449], [0.591, 0.881, 0.949], [0.729, 0.240, 0.643], [0.729, 0.260, 0.143], [0.746, 0.027, 0.575], [0.746, 0.473, 0.075], [0.758, 0.734, 0.205], [0.758, 0.766, 0.705], [0.871, 0.117, 0.919], [0.871, 0.383, 0.419], [0.924, 0.637, 0.979], [0.924, 0.863, 0.479], [0.975, 0.022, 0.221], [0.975, 0.478, 0.721]]
}

Entry 7:
{
  "formula": "Na2PH11O8",
  "functional": "SCAN",
  "state": "single point on PBEsol structure",
  "e_tot_ev_per_cell": -273.8,
  "m_tot_mub_per_cell": 0.12,
  "space_group": "Pmn2_1, No. 31",
  "cell": [[7.107, 0.000, 0.000], [0.000, 6.362, 0.000], [0.000, 0.000, 9.110]],
  "species": ["Na", "Na", "Na", "Na", "P", "P", "H", "H", "H", "H", "H", "H", "H", "H", "H", "H", "H", "H", "H", "H", "H", "H", "H", "H", "H", "H", "H", "H", "O", "O", "O", "O", "O", "O", "O", "O", "O", "O", "O", "O", "O", "O", "O", "O"],
  "frac_coords": [[0.000, 0.006, 0.000], [0.000, 0.958, 0.585], [0.500, 0.042, 0.085], [0.500, 0.994, 0.500], [0.000, 0.354, 0.351], [0.500, 0.646, 0.851], [0.000, 0.402, 0.504], [0.113, 0.674, 0.810], [0.161, 0.953, 0.246], [0.207, 0.715, 0.210], [0.214, 0.353, 0.107], [0.249, 0.629, 0.436], [0.251, 0.371, 0.936], [0.286, 0.647, 0.607], [0.293, 0.285, 0.710], [0.339, 0.047, 0.746], [0.387, 0.326, 0.310], [0.500, 0.598, 0.004], [0.613, 0.326, 0.310], [0.661, 0.047, 0.746], [0.707, 0.285, 0.710], [0.714, 0.647, 0.607], [0.749, 0.371, 0.936], [0.751, 0.629, 0.436], [0.786, 0.353, 0.107], [0.793, 0.715, 0.210], [0.839, 0.953, 0.246], [0.887, 0.674, 0.810], [0.000, 0.115, 0.336], [0.000, 0.767, 0.813], [0.179, 0.458, 0.288], [0.229, 0.861, 0.175], [0.236, 0.269, 0.017], [0.264, 0.731, 0.517], [0.271, 0.139, 0.675], [0.321, 0.542, 0.788], [0.500, 0.233, 0.313], [0.500, 0.885, 0.836], [0.679, 0.542, 0.788], [0.729, 0.139, 0.675], [0.736, 0.731, 0.517], [0.764, 0.269, 0.017], [0.771, 0.861, 0.175], [0.821, 0.458, 0.288]]
}

Entry 8:
{
  "formula": "Na6P2H2O9",
  "functional": "SCAN",
  "state": "single point on PBEsol structure",
  "e_tot_ev_per_cell": -302.1,
  "m_tot_mub_per_cell": 0.42,
  "space_group": "C2/c, No. 15",
  "cell": [[4.790, -2.710, 0.000], [4.790, 2.710, 0.000], [-3.918, 0.000, 16.467]],
  "species": ["Na", "Na", "Na", "Na", "Na", "Na", "Na", "Na", "Na", "Na", "Na", "Na", "P", "P", "P", "P", "H", "H", "H", "H", "O", "O", "O", "O", "O", "O", "O", "O", "O", "O", "O", "O", "O", "O", "O", "O", "O", "O"],
  "frac_coords": [[0.095, 0.904, 0.901], [0.096, 0.905, 0.599], [0.182, 0.521, 0.216], [0.290, 0.344, 0.048], [0.344, 0.290, 0.548], [0.479, 0.818, 0.284], [0.521, 0.182, 0.716], [0.656, 0.710, 0.452], [0.710, 0.656, 0.952], [0.818, 0.479, 0.784], [0.904, 0.095, 0.401], [0.905, 0.096, 0.099], [0.229, 0.453, 0.387], [0.453, 0.229, 0.887], [0.547, 0.771, 0.113], [0.771, 0.547, 0.613], [0.066, 0.762, 0.727], [0.238, 0.934, 0.773], [0.762, 0.066, 0.227], [0.934, 0.238, 0.273], [0.039, 0.486, 0.677], [0.043, 0.957, 0.750], [0.126, 0.666, 0.464], [0.141, 0.373, 0.907], [0.334, 0.874, 0.036], [0.373, 0.141, 0.407], [0.442, 0.495, 0.352], [0.486, 0.039, 0.177], [0.495, 0.442, 0.852], [0.505, 0.558, 0.148], [0.514, 0.961, 0.823], [0.558, 0.505, 0.648], [0.627, 0.859, 0.593], [0.666, 0.126, 0.964], [0.859, 0.627, 0.093], [0.874, 0.334, 0.536], [0.957, 0.043, 0.250], [0.961, 0.514, 0.323]]
}

Entry 9:
{
  "formula": "Na3P2H4O7",
  "functional": "SCAN",
  "state": "single point on PBEsol structure",
  "e_tot_ev_per_cell": -239.6,
  "m_tot_mub_per_cell": 0.00,
  "space_group": "P-1, No. 2",
  "cell": [[5.986, 0.000, 0.000], [-2.878, 5.494, 0.000], [-1.196, -2.559, 10.968]],
  "species": ["Na", "Na", "Na", "Na", "Na", "Na", "P", "P", "P", "P", "H", "H", "H", "H", "H", "H", "H", "H", "O", "O", "O", "O", "O", "O", "O", "O", "O", "O", "O", "O", "O", "O"],
  "frac_coords": [[0.075, 0.175, 0.378], [0.274, 0.304, 0.077], [0.332, 0.483, 0.646], [0.668, 0.517, 0.354], [0.726, 0.696, 0.923], [0.925, 0.825, 0.622], [0.342, 0.835, 0.430], [0.404, 0.925, 0.250], [0.596, 0.075, 0.750], [0.658, 0.165, 0.570], [0.091, 0.363, 0.852], [0.217, 0.802, 0.017], [0.243, 0.898, 0.889], [0.263, 0.229, 0.823], [0.737, 0.771, 0.177], [0.757, 0.102, 0.111], [0.783, 0.198, 0.983], [0.909, 0.637, 0.148], [0.084, 0.821, 0.444], [0.177, 0.902, 0.966], [0.220, 0.683, 0.154], [0.272, 0.393, 0.856], [0.310, 0.989, 0.753], [0.338, 0.136, 0.250], [0.369, 0.606, 0.443], [0.631, 0.394, 0.557], [0.662, 0.864, 0.750], [0.690, 0.011, 0.247], [0.728, 0.607, 0.144], [0.780, 0.317, 0.846], [0.823, 0.098, 0.034], [0.916, 0.179, 0.556]]
}